The following is a DFT calculation (GGA+U) of a relaxed structure of K2MgMo2H4O10.

abc: 6.1496 6.8884 7.3607
angles: 62.97 70.75 68.58
Closest atoms and distances in Å follow each position.
Positions (direct):
K: 0.0056 0.0760 0.2478  5 O 2.57-2.84, 1 H 2.81
K: 0.9944 0.9240 0.7522  5 O 2.57-2.84, 1 H 2.81
Mg: 0.0000 0.5000 0.5000  6 O 2.04-2.18
Mo: 0.3719 0.3560 0.7178  2 O 1.81-1.93
Mo: 0.6281 0.6440 0.2822  2 O 1.81-1.93
H: 0.1274 0.5284 0.0936  1 O 0.99
H: 0.4951 0.5945 0.8464  1 O 0.98
H: 0.5049 0.4055 0.1536  1 O 0.98
H: 0.8726 0.4716 0.9064  1 O 0.99
O: 0.0129 0.4842 0.2270  1 H 0.99
O: 0.2648 0.2041 0.6342  1 Mo 1.81
O: 0.3021 0.6375 0.4217  1 Mo 1.93
O: 0.3433 0.5741 0.8529  1 H 0.98
O: 0.4279 0.1121 0.9982  1 O 1.47
O: 0.5721 0.8879 0.0018  1 O 1.47
O: 0.6567 0.4259 0.1471  1 H 0.98
O: 0.6979 0.3625 0.5783  1 Mo 1.93
O: 0.7352 0.7959 0.3658  1 Mo 1.81
O: 0.9871 0.5158 0.7730  1 H 0.99

Summary:
Its space-group type is P-1. The density of states at the Fermi level comes out at 0.00 states/eV/f.u. The calculation puts the raw total energy at -5.702 eV/atom.